<one>
# CeDy2Sc

Crystalline CeDy2Sc at its relaxed geometry (PBE, the Alexandria database).

Cell: 3.3383 3.3383 35.9247 Å, 90.00 90.00 120.00°
Space group R-3m (No. 166, hexagonal axes)
One atom of each set of equivalent atoms:
Ce 0.0000 0.0000 0.0000 x3
Dy 0.0000 0.0000 0.0908 x6
Sc 0.0000 0.0000 0.5000 x3

calculated volume	28.89	A^3/atom
total magnetization	1.8	μB per cell

***

<two>
# CeDy2Sc

Crystalline CeDy2Sc at its relaxed geometry (PBE, the Alexandria database).

Cell: 4.891 4.891 4.879 Å, 90.00 90.00 90.00°
Space group P4/mmm (No. 123)
One atom of each set of equivalent atoms:
Ce 0.000 0.000 0.000 x1
Dy 0.000 0.500 0.500 x2
Sc 0.500 0.500 0.000 x1

calculated volume	29.17	A^3/atom
total magnetization	0.5	μB per cell

***

Which one is the least stable? From the structures above, <one>.